# 1
# Sm3Tm6Th (GGA-PBE, relaxed)
# Calculated density ... 8818 kg/m3
# DFT formation energy ... 0.158 eV per atom
data_Sm3Tm6Th
_chemical_formula_sum 'Sm12 Tm24 Th4'
_cell_length_a 9.3626
_cell_length_b 15.2028
_cell_length_c 8.9789
_cell_angle_alpha 90.00
_cell_angle_beta 90.00
_cell_angle_gamma 90.00
_space_group_name_H-M_alt 'C m c 21'
_space_group_IT_number 36
loop_
_space_group_symop_operation_xyz
'x,y,z'
'-x,-y,z+1/2'
'-x,y,z'
'x,-y,z+1/2'
'x+1/2,y+1/2,z'
'-x+1/2,-y+1/2,z+1/2'
'-x+1/2,y+1/2,z'
'x+1/2,-y+1/2,z+1/2'
loop_
_atom_site_label
_atom_site_type_symbol
_atom_site_fract_x
_atom_site_fract_y
_atom_site_fract_z
Sm1 Sm 0.0000 0.0483 0.0000
Sm2 Sm 0.1732 0.3536 0.5121
Tm1 Tm 0.0000 0.2138 0.7417
Tm2 Tm 0.0000 0.4443 0.8730
Tm3 Tm 0.1808 0.1490 0.3533
Tm4 Tm 0.2377 0.4393 0.1828
Th1 Th 0.0000 0.2754 0.1025

# 2
# Sm3Tm6Th (GGA-PBE, relaxed)
# Calculated density ... 8707 kg/m3
# DFT formation energy ... 0.324 eV per atom
data_Sm3Tm6Th
_chemical_formula_sum 'Sm9 Tm18 Th3'
_cell_length_a 9.8050
_cell_length_b 9.8050
_cell_length_c 11.6596
_cell_angle_alpha 90.00
_cell_angle_beta 90.00
_cell_angle_gamma 120.00
_space_group_name_H-M_alt 'R 3 2'
_space_group_IT_number 155
_space_group_name_Hall 'R 3 2"'
loop_
_atom_site_label
_atom_site_type_symbol
_atom_site_fract_x
_atom_site_fract_y
_atom_site_fract_z
Sm1 Sm 0.0000 0.0000 0.0000
Sm2 Sm 0.0000 0.0000 0.2426
Tm1 Tm 0.0000 0.3294 0.5000
Tm2 Tm 0.0000 0.6666 0.0000
Th1 Th 0.0000 0.0000 0.5000

# 3
# Sm5Tm2Th3 (GGA-PBE, relaxed)
# Calculated density ... 9108 kg/m3
# DFT formation energy ... 0.044 eV per atom
data_Sm5Tm2Th3
_chemical_formula_sum 'Sm10 Tm4 Th6'
_cell_length_a 11.3386
_cell_length_b 5.0618
_cell_length_c 11.3458
_cell_angle_alpha 90.00
_cell_angle_beta 90.15
_cell_angle_gamma 90.00
_space_group_name_H-M_alt 'C 1 2/m 1'
_space_group_IT_number 12
loop_
_space_group_symop_operation_xyz
'x,y,z'
'-x,-y,-z'
'-x,y,-z'
'x,-y,z'
'x+1/2,y+1/2,z'
'-x+1/2,-y+1/2,-z'
'-x+1/2,y+1/2,-z'
'x+1/2,-y+1/2,z'
loop_
_atom_site_label
_atom_site_type_symbol
_atom_site_fract_x
_atom_site_fract_y
_atom_site_fract_z
Sm1 Sm 0.0000 0.0000 0.0000
Sm2 Sm 0.1988 0.0000 0.6001
Sm3 Sm 0.1987 0.5000 0.1018
Tm1 Tm 0.0978 0.5000 0.7958
Th1 Th 0.0000 0.5000 0.5000
Th2 Th 0.0981 0.0000 0.3005

# 4
# SmTm6Th2 (GGA-PBE, relaxed)
# Calculated density ... 9470 kg/m3
# DFT formation energy ... 0.140 eV per atom
data_SmTm6Th2
_chemical_formula_sum 'Sm4 Tm24 Th8'
_cell_length_a 12.6299
_cell_length_b 14.1157
_cell_length_c 6.5391
_cell_angle_alpha 90.00
_cell_angle_beta 101.62
_cell_angle_gamma 90.00
_space_group_name_H-M_alt 'C 1 2/c 1'
_space_group_IT_number 15
loop_
_space_group_symop_operation_xyz
'x,y,z'
'-x,-y,-z'
'-x,y,-z+1/2'
'x,-y,z+1/2'
'x+1/2,y+1/2,z'
'-x+1/2,-y+1/2,-z'
'-x+1/2,y+1/2,-z+1/2'
'x+1/2,-y+1/2,z+1/2'
loop_
_atom_site_label
_atom_site_type_symbol
_atom_site_fract_x
_atom_site_fract_y
_atom_site_fract_z
Sm1 Sm 0.0000 0.1156 0.2500
Tm1 Tm 0.0349 0.3090 0.0034
Tm2 Tm 0.1373 0.0865 0.8174
Tm3 Tm 0.2413 0.3008 0.7307
Th1 Th 0.1349 0.4744 0.3787

# 5
# Sm2Tm4Th3 (GGA-PBE, relaxed)
# Calculated density ... 9638 kg/m3
# DFT formation energy ... 0.080 eV per atom
data_Sm2Tm4Th3
_chemical_formula_sum 'Sm2 Tm4 Th3'
_cell_length_a 3.5500
_cell_length_b 3.5500
_cell_length_c 26.4029
_cell_angle_alpha 90.00
_cell_angle_beta 90.00
_cell_angle_gamma 120.00
_space_group_name_H-M_alt 'P 3 m 1'
_space_group_IT_number 156
loop_
_space_group_symop_operation_xyz
'x,y,z'
'-y,x-y,z'
'-x+y,-x,z'
'-y,-x,z'
'-x+y,y,z'
'x,x-y,z'
loop_
_atom_site_label
_atom_site_type_symbol
_atom_site_fract_x
_atom_site_fract_y
_atom_site_fract_z
Sm1 Sm 0.0000 0.0000 0.0000
Sm2 Sm 0.0000 0.0000 0.2229
Tm1 Tm 0.0000 0.0000 0.3499
Tm2 Tm 0.0000 0.0000 0.5674
Tm3 Tm 0.3333 0.6667 0.6722
Tm4 Tm 0.3333 0.6667 0.8903
Th1 Th 0.0000 0.0000 0.7816
Th2 Th 0.3333 0.6667 0.1134
Th3 Th 0.3333 0.6667 0.4562

# 6
# SmTm8Th2 (GGA-PBE, relaxed)
# Calculated density ... 9607 kg/m3
# DFT formation energy ... 0.029 eV per atom
data_SmTm8Th2
_chemical_formula_sum 'Sm1 Tm8 Th2'
_cell_length_a 6.0893
_cell_length_b 7.8851
_cell_length_c 7.8861
_cell_angle_alpha 107.45
_cell_angle_beta 104.96
_cell_angle_gamma 97.61
_space_group_name_H-M_alt 'P -1'
_space_group_IT_number 2
loop_
_space_group_symop_operation_xyz
'x,y,z'
'-x,-y,-z'
loop_
_atom_site_label
_atom_site_type_symbol
_atom_site_fract_x
_atom_site_fract_y
_atom_site_fract_z
Sm1 Sm 0.0000 0.0000 0.0000
Tm1 Tm 0.1808 0.6355 0.7248
Tm2 Tm 0.2683 0.4570 0.0879
Tm3 Tm 0.3593 0.2710 0.4563
Tm4 Tm 0.4473 0.0904 0.8135
Th1 Th 0.0904 0.8181 0.3674

# 7
# Sm6TmTh2 (GGA-PBE, relaxed)
# Calculated density ... 8514 kg/m3
# DFT formation energy ... 0.070 eV per atom
data_Sm6TmTh2
_chemical_formula_sum 'Sm6 Tm1 Th2'
_cell_length_a 3.5953
_cell_length_b 3.5953
_cell_length_c 26.7480
_cell_angle_alpha 90.00
_cell_angle_beta 90.00
_cell_angle_gamma 120.00
_space_group_name_H-M_alt 'P -6 m 2'
_space_group_IT_number 187
_space_group_name_Hall 'P -6 2'
loop_
_atom_site_label
_atom_site_type_symbol
_atom_site_fract_x
_atom_site_fract_y
_atom_site_fract_z
Sm1 Sm 0.0000 0.0000 0.0636
Sm2 Sm 0.0000 0.0000 0.2816
Sm3 Sm 0.3333 0.6667 0.3939
Tm1 Tm 0.0000 0.0000 0.5000
Th1 Th 0.3333 0.6667 0.1714

# 8
# Sm6Tm12Th (GGA-PBE, relaxed)
# Calculated density ... 8491 kg/m3
# DFT formation energy ... 0.227 eV per atom
data_Sm6Tm12Th
_chemical_formula_sum 'Sm18 Tm36 Th3'
_cell_length_a 13.2016
_cell_length_b 13.2016
_cell_length_c 12.2894
_cell_angle_alpha 90.00
_cell_angle_beta 90.00
_cell_angle_gamma 120.00
_space_group_name_H-M_alt 'R -3 m'
_space_group_IT_number 166
_space_group_name_Hall '-R 3 2"'
loop_
_atom_site_label
_atom_site_type_symbol
_atom_site_fract_x
_atom_site_fract_y
_atom_site_fract_z
Sm1 Sm 0.0368 0.5184 0.1209
Tm1 Tm 0.0000 0.2559 0.0000
Tm2 Tm 0.0902 0.1804 0.7580
Th1 Th 0.0000 0.0000 0.5000